An optimized crystal structure of ZrCuIr2, computed with PBEsol. Values from VASP.

The structure in Quantum ESPRESSO input format:
```
&SYSTEM
  ibrav = 0, nat = 4, ntyp = 3
/
ATOMIC_SPECIES
Zr 91.22 Zr.upf
Cu 63.55 Cu.upf
Ir 192.22 Ir.upf
ATOMIC_POSITIONS crystal
Zr 0.0000 0.0000 0.0000
Cu 0.5000 0.5000 0.0000
Ir 0.0000 0.5000 0.5000
Ir 0.5000 0.0000 0.5000
CELL_PARAMETERS angstrom
3.9669 0.0000 0.0000
0.0000 3.9669 0.0000
0.0000 0.0000 3.7599
```

Values from the calculation:
As for the formation energy: -546 meV per atom. The space-group type is P4/mmm (123). The electronic total energy comes out at -35.3 eV for the cell shown. The size of the total moment comes out at 0.00 μB per cell.